*one*
This record from the Alexandria database describes crystalline Te2C at its relaxed geometry. The functional is GGA-PBEsol.

abc: 4.671 4.671 5.634
angles: 90.00 90.00 90.00
Fractional coordinates of all 6 atoms:
C: 0.000 0.500 0.114
C: 0.500 0.000 0.886
Te: 0.000 0.500 0.504
Te: 0.000 0.000 0.000
Te: 0.500 0.000 0.496
Te: 0.500 0.500 0.000

Values from the calculation:
Spin magnetization   0.000 μB/f.u.
DOS(E_F)   0.4201 states/eV per atom
SG   P4/nmm, No. 129

***

*two*
This record from the Alexandria database describes crystalline Te2C at its relaxed geometry. The functional is GGA-PBEsol.

abc: 3.306 3.306 6.370
angles: 90.00 90.00 120.00
Fractional coordinates of all 3 atoms:
Te: 0.333 0.667 0.242
Te: 0.667 0.333 0.758
C: 0.000 0.000 0.000

Values from the calculation:
Spin magnetization   0.000 μB/f.u.
DOS(E_F)   0.6060 states/eV per atom
SG   P-3m1, No. 164

***

*three*
This record from the Alexandria database describes crystalline Te2C at its relaxed geometry. The functional is GGA-PBEsol.

abc: 3.209 4.367 4.367
angles: 90.00 90.00 90.00
Fractional coordinates of all 3 atoms:
Te: 0.000 0.500 0.000
Te: 0.000 0.000 0.500
C: 0.500 0.000 0.000

Values from the calculation:
Spin magnetization   0.000 μB/f.u.
DOS(E_F)   0.5566 states/eV per atom
SG   P4/mmm, No. 123

***

*four*
This record from the Alexandria database describes crystalline Te2C at its relaxed geometry. The functional is GGA-PBEsol.

abc: 3.308 3.308 13.293
angles: 90.00 90.00 120.00
Fractional coordinates of all 6 atoms:
Te: 0.667 0.333 0.616
Te: 0.667 0.333 0.884
Te: 0.333 0.667 0.116
Te: 0.333 0.667 0.384
C: 0.000 0.000 0.000
C: 0.000 0.000 0.500

Values from the calculation:
Spin magnetization   0.000 μB/f.u.
DOS(E_F)   0.4927 states/eV per atom
SG   P6_3/mmc, No. 194

***

The least stable of them is *three*.

***

*one*
This record from the Alexandria database describes crystalline TeC at its relaxed geometry. The functional is GGA-PBEsol.

abc: 5.806 5.806 5.806
angles: 39.42 39.42 39.42
Fractional coordinates of all 4 atoms:
C: 0.113 0.113 0.113
C: 0.887 0.887 0.887
Te: 0.249 0.249 0.249
Te: 0.751 0.751 0.751

Values from the calculation:
Spin magnetization   0.000 μB/f.u.
DOS(E_F)   0.6702 states/eV per atom
SG   R-3m, No. 166

***

*two*
This record from the Alexandria database describes crystalline TeC at its relaxed geometry. The functional is GGA-PBEsol.

abc: 3.826 3.826 3.826
angles: 60.00 60.00 60.00
Fractional coordinates of all 2 atoms:
C: 0.000 0.000 0.000
Te: 0.250 0.250 0.250

Values from the calculation:
Spin magnetization   0.000 μB/f.u.
DOS(E_F)   0.6691 states/eV per atom
SG   F-43m, No. 216

***

*three*
This record from the Alexandria database describes crystalline TeC at its relaxed geometry. The functional is GGA-PBEsol.

abc: 4.040 4.041 4.433
angles: 90.00 90.00 90.00
Fractional coordinates of all 4 atoms:
C: 0.000 0.000 0.000
C: 0.500 0.500 0.000
Te: 0.000 0.500 0.215
Te: 0.500 0.000 0.785

Values from the calculation:
Spin magnetization   0.000 μB/f.u.
DOS(E_F)   0.3140 states/eV per atom
SG   P4/nmm, No. 129

***

*four*
This record from the Alexandria database describes crystalline TeC at its relaxed geometry. The functional is GGA-PBEsol.

abc: 4.690 4.690 4.690
angles: 90.00 90.00 90.00
Fractional coordinates of all 6 atoms:
Te: 0.000 0.500 0.000
Te: 0.500 0.000 0.000
Te: 0.000 0.000 0.500
C: 0.000 0.500 0.500
C: 0.500 0.500 0.000
C: 0.500 0.000 0.500

Values from the calculation:
Spin magnetization   0.001 μB/f.u.
DOS(E_F)   0.7090 states/eV per atom
SG   Pm-3m, No. 221

***

The least stable of them is *four*.

***

*one*
This record from the Alexandria database describes crystalline TeC at its relaxed geometry. The functional is GGA-PBEsol.

abc: 3.330 5.814 5.814
angles: 120.00 90.00 90.00
Fractional coordinates of all 6 atoms:
Te: 0.500 0.000 0.000
Te: 0.000 0.333 0.667
Te: 0.000 0.667 0.333
C: 0.500 0.382 0.000
C: 0.500 0.000 0.382
C: 0.500 0.618 0.618

Values from the calculation:
Spin magnetization   0.000 μB/f.u.
DOS(E_F)   0.4012 states/eV per atom
SG   P-62m, No. 189

***

*two*
This record from the Alexandria database describes crystalline TeC at its relaxed geometry. The functional is GGA-PBEsol.

abc: 3.310 5.229 7.636
angles: 106.12 90.00 108.45
Fractional coordinates of all 6 atoms:
Te: 0.820 0.640 0.987
Te: 0.586 0.173 0.259
Te: 0.948 0.895 0.599
C: 0.055 0.109 0.071
C: 0.354 0.707 0.178
C: 0.404 0.809 0.740

Values from the calculation:
Spin magnetization   0.000 μB/f.u.
DOS(E_F)   0.4402 states/eV per atom
SG   Cm, No. 8

***

The least stable of them is *one*.

***

*one*
This record from the Alexandria database describes crystalline Te3C4 at its relaxed geometry. The functional is GGA-PBEsol.

abc: 3.458 3.458 10.963
angles: 99.07 99.07 90.00
Fractional coordinates of all 7 atoms:
C: 0.469 0.469 0.937
C: 0.791 0.791 0.582
C: 0.209 0.209 0.418
C: 0.531 0.531 0.063
Te: 0.310 0.310 0.619
Te: 0.690 0.690 0.381
Te: 0.000 0.000 0.000

Values from the calculation:
Spin magnetization   0.000 μB/f.u.
DOS(E_F)   0.2876 states/eV per atom
SG   I4/mmm, No. 139

***

*two*
This record from the Alexandria database describes crystalline Te3C4 at its relaxed geometry. The functional is GGA-PBEsol.

abc: 4.961 4.961 4.961
angles: 90.00 90.00 90.00
Fractional coordinates of all 7 atoms:
C: 0.775 0.775 0.775
C: 0.225 0.225 0.775
C: 0.775 0.225 0.225
C: 0.225 0.775 0.225
Te: 0.000 0.500 0.500
Te: 0.500 0.000 0.500
Te: 0.500 0.500 0.000

Values from the calculation:
Spin magnetization   0.000 μB/f.u.
DOS(E_F)   0.5331 states/eV per atom
SG   P-43m, No. 215

***

The least stable of them is *two*.

***

*one*
This record from the Alexandria database describes crystalline TeC2 at its relaxed geometry. The functional is GGA-PBEsol.

abc: 4.065 4.065 4.953
angles: 90.00 90.00 120.00
Fractional coordinates of all 6 atoms:
Te: 0.333 0.667 0.750
Te: 0.667 0.333 0.250
C: 0.333 0.667 0.250
C: 0.000 0.000 0.500
C: 0.667 0.333 0.750
C: 0.000 0.000 0.000

Values from the calculation:
Spin magnetization   0.000 μB/f.u.
DOS(E_F)   0.4851 states/eV per atom
SG   P6_3/mmc, No. 194

***

*two*
This record from the Alexandria database describes crystalline TeC2 at its relaxed geometry. The functional is GGA-PBEsol.

abc: 3.265 3.265 4.573
angles: 69.08 69.08 60.00
Fractional coordinates of all 3 atoms:
C: 0.770 0.770 0.690
C: 0.230 0.230 0.310
Te: 0.000 0.000 0.000

Values from the calculation:
Spin magnetization   0.000 μB/f.u.
DOS(E_F)   0.4961 states/eV per atom
SG   R-3m, No. 166

***

The least stable of them is *one*.

***

*one*
This record from the Alexandria database describes crystalline WC5 at its relaxed geometry. The functional is GGA-PBEsol.

abc: 3.899 3.899 4.048
angles: 90.00 90.00 120.00
Fractional coordinates of all 6 atoms:
C: 0.667 0.333 0.500
C: 0.778 0.000 0.000
C: 0.333 0.667 0.500
C: 0.222 0.222 0.000
C: 0.000 0.778 0.000
W: 0.000 0.000 0.500

Values from the calculation:
Spin magnetization   0.000 μB/f.u.
DOS(E_F)   0.4773 states/eV per atom
SG   P-62m, No. 189

***

*two*
This record from the Alexandria database describes crystalline WC5 at its relaxed geometry. The functional is GGA-PBEsol.

abc: 2.528 2.623 6.864
angles: 101.01 90.00 90.00
Fractional coordinates of all 6 atoms:
C: 0.000 0.025 0.050
C: 0.000 0.587 0.175
C: 0.000 0.289 0.578
C: 0.500 0.655 0.310
C: 0.500 0.221 0.441
W: 0.500 0.890 0.779

Values from the calculation:
Spin magnetization   0.000 μB/f.u.
DOS(E_F)   0.0717 states/eV per atom
SG   Amm2, No. 38

***

*three*
This record from the Alexandria database describes crystalline WC5 at its relaxed geometry. The functional is GGA-PBEsol.

abc: 2.474 4.542 4.542
angles: 120.00 90.00 90.00
Fractional coordinates of all 6 atoms:
C: 0.500 0.500 0.000
C: 0.000 0.333 0.667
C: 0.500 0.000 0.500
C: 0.500 0.500 0.500
C: 0.000 0.667 0.333
W: 0.000 0.000 0.000

Values from the calculation:
Spin magnetization   0.000 μB/f.u.
DOS(E_F)   0.3542 states/eV per atom
SG   P6/mmm, No. 191

***

The least stable of them is *three*.